Record 1
A plane-wave DFT calculation with PBE-GGA was carried out for TbMn2Se3 after structural relaxation.

Unit cell a=20.6391 b=4.1470 c=7.1260 alpha=90.00 beta=92.22 gamma=90.00
Space group C2/m (No. 12)
Inequivalent atoms, fractional coordinates:
Tb: 0.1571 0.0000 0.0276 x4
Mn: 0.0385 0.5000 0.1940 x4
Mn: 0.1994 0.0000 0.4531 x4
Se: 0.0810 0.0000 0.3593 x4
Se: 0.0837 0.5000 0.8560 x4
Se: 0.2370 0.5000 0.2406 x4


Record 2
A plane-wave DFT calculation with PBE-GGA was carried out for NaAgPO2 after structural relaxation.

Unit cell a=4.1033 b=4.1033 c=5.4288 alpha=90.00 beta=90.00 gamma=90.00
Space group P4/mmm (No. 123)
Inequivalent atoms, fractional coordinates:
Na: 0.0000 0.0000 0.0000 x1
Ag: 0.5000 0.5000 0.5000 x1
P: 0.0000 0.0000 0.5000 x1
O: 0.0000 0.5000 0.0000 x2


Final energy / eV/atom: -6.39 -3.04
Spin magnetization / μB per cell: 36.0 3.7
Energy relative to the elements, uncorrected / eV per atom: -0.821 0.855